A plane-wave DFT calculation with PBE-GGA was carried out for a relaxed ScTaN2O crystal.

Structure (POSCAR):
```
ScTaN2O
1.0
7.662 0.000 0.000
0.000 5.302 0.000
0.000 0.000 5.578
Sc Ta N O
4 4 8 4
direct
0.000 0.234 0.000
0.000 0.766 0.500
0.500 0.240 0.122
0.500 0.760 0.622
0.258 0.244 0.570
0.258 0.756 0.070
0.742 0.244 0.570
0.742 0.756 0.070
0.000 0.141 0.606
0.000 0.859 0.106
0.312 0.067 0.872
0.312 0.933 0.372
0.500 0.386 0.493
0.500 0.614 0.993
0.688 0.067 0.872
0.688 0.933 0.372
0.185 0.421 0.228
0.185 0.579 0.728
0.815 0.421 0.228
0.815 0.579 0.728
```

Results
As for the space group: Pmc2_1 (26). Its final energy is -9.83 eV/atom.

=====

A plane-wave DFT calculation with PBE-GGA was carried out for a relaxed ScTaN2O crystal.

Structure (POSCAR):
```
ScTaN2O
1.0
5.612 0.000 0.000
0.000 3.843 0.000
0.000 0.000 5.948
Sc Ta N O
2 2 4 2
direct
0.250 0.000 0.151
0.750 0.000 0.849
0.250 0.500 0.718
0.750 0.500 0.282
0.000 0.500 0.500
0.250 0.000 0.818
0.500 0.500 0.500
0.750 0.000 0.182
0.000 0.500 0.000
0.500 0.500 0.000
```

Results
As for the space group: Pmma (51). Its final energy is -9.47 eV/atom.